# 1
VASP calculation (PBE) on an optimized crystal structure of Sc3Rh2Pb.

Calculated values
Total magnetization   0.0 Bohr magnetons per cell
Energy   -7.01 eV/atom
Energy of formation from the pure elements   -450 kJ/mol of formula units

Cell: 3.2030 3.2030 11.4366 Å, 90.00 90.00 90.00°
Closest atoms and distances in Å follow each position.
Space group P4/mmm (No. 123)
One atom of each set of equivalent atoms:
Sc 0.0000 0.0000 0.0000 [1 per cell]  8 Rh 2.83
Sc 0.0000 0.0000 0.2882 [2 per cell]  4 Rh 2.78
Rh 0.5000 0.5000 0.1480 [2 per cell]  8 Sc 2.78-2.83
Pb 0.5000 0.5000 0.5000 [1 per cell]  4 Pb 3.20, 8 Sc 3.32

# 2
VASP calculation (PBE) on an optimized crystal structure of Na2Ac3Ag2Hg4.

Calculated values
Total magnetization   0.0 Bohr magnetons per cell
Energy   -2.30 eV/atom
Energy of formation from the pure elements   -329 kJ/mol of formula units

Cell: 5.0026 5.0026 15.7576 Å, 90.00 90.00 120.00°
Closest atoms and distances in Å follow each position.
Space group P-3m1 (No. 164)
One atom of each set of equivalent atoms:
Na 0.3333 0.6667 0.0629 [2 per cell]  4 Hg 3.16-3.27, 3 Na 3.50
Ac 0.0000 0.0000 0.2560 [2 per cell]  6 Hg 3.38-3.45, 3 Ag 3.42
Ac 0.0000 0.0000 0.5000 [1 per cell]  6 Hg 3.49, 6 Ag 3.52, 2 Ac 3.85
Ag 0.3333 0.6667 0.6282 [2 per cell]  3 Hg 2.89
Hg 0.3333 0.6667 0.3754 [2 per cell]  3 Ag 2.89
Hg 0.3333 0.6667 0.8555 [2 per cell]  4 Na 3.16-3.27, 3 Ac 3.38

# 3
VASP calculation (PBE) on an optimized crystal structure of Mn2SnMoH.

Calculated values
Total magnetization   4.7 Bohr magnetons per cell
Energy   -7.22 eV/atom

Cell: 3.9398 3.9398 4.0716 Å, 90.00 90.00 90.00°
Closest atoms and distances in Å follow each position.
Space group P4/mmm (No. 123)
One atom of each set of equivalent atoms:
Mn 0.0000 0.5000 0.0000 [2 per cell]  2 H 1.97
Sn 0.0000 0.0000 0.5000 [1 per cell]  4 Mo 2.79, 8 Mn 2.83
Mo 0.5000 0.5000 0.5000 [1 per cell]  2 H 2.04
H 0.5000 0.5000 0.0000 [1 per cell]  4 Mn 1.97, 2 Mo 2.04

# 4
VASP calculation (PBE) on an optimized crystal structure of TiCoNi2.

Calculated values
Total magnetization   2.7 Bohr magnetons per cell
Energy   -6.98 eV/atom
Energy of formation from the pure elements   -131 kJ/mol of formula units

Cell: 3.5639 3.5639 7.4395 Å, 90.00 90.00 90.00°
Closest atoms and distances in Å follow each position.
Space group I4/mmm (No. 139)
One atom of each set of equivalent atoms:
Ti 0.0000 0.0000 0.0000 [2 per cell]  4 Co 2.52, 8 Ni 2.58
Co 0.0000 0.0000 0.5000 [2 per cell]  4 Ti 2.52, 8 Ni 2.58
Ni 0.0000 0.5000 0.2500 [4 per cell]  4 Ni 2.52, 4 Co 2.58, 4 Ti 2.58